Record 1
A plane-wave DFT calculation with GGA-PBE was carried out for an optimized crystal structure of AcReSi.

Calculated values
formation energy (no corrections): 412 meV/atom
crystal system: orthorhombic
final energy: -0.2541 hartree per atom
calculated density: 11.1 Mg/m³

a = 4.6295 Å, b = 15.3597 Å, c = 3.7153 Å
α = 90.00°, β = 90.00°, γ = 90.00°
Space group Cmcm (No. 63)
Symmetry-distinct sites (fractional):
Ac1 0.0000 0.1076 0.2500 (multiplicity 4)
Re1 0.0000 0.2861 0.2500 (multiplicity 4)
Si1 0.0000 0.4493 0.2500 (multiplicity 4)

=====

Record 2
A plane-wave DFT calculation with GGA-PBE was carried out for an optimized crystal structure of Na2CuAsO4.

Calculated values
formation energy (no corrections): -1333 meV/atom
crystal system: triclinic
final energy: -0.1924 hartree per atom
calculated density: 3.7 Mg/m³

a = 5.0205 Å, b = 5.0226 Å, c = 5.7084 Å
α = 116.09°, β = 116.02°, γ = 90.04°
Space group P1 (No. 1)
Symmetry-distinct sites (fractional):
Na1 0.0000 0.0000 0.0000 (multiplicity 1)
Na2 0.2504 0.7499 0.4998 (multiplicity 1)
Cu1 0.4982 0.5024 0.9998 (multiplicity 1)
As1 0.7499 0.2498 0.5002 (multiplicity 1)
O1 0.0787 0.5440 0.7217 (multiplicity 1)
O2 0.4564 0.3562 0.2779 (multiplicity 1)
O3 0.6435 0.1784 0.7229 (multiplicity 1)
O4 0.8225 0.9210 0.2786 (multiplicity 1)

=====

Record 3
A plane-wave DFT calculation with GGA-PBE was carried out for an optimized crystal structure of CoSnI2N.

Calculated values
formation energy (no corrections): 1099 meV/atom
crystal system: tetragonal
final energy: -0.1252 hartree per atom
calculated density: 5.2 Mg/m³

a = 6.0620 Å, b = 6.0620 Å, c = 3.8557 Å
α = 90.00°, β = 90.00°, γ = 90.00°
Space group P4/mmm (No. 123)
Symmetry-distinct sites (fractional):
Co1 0.0000 0.0000 0.0000 (multiplicity 1)
Sn1 0.5000 0.5000 0.5000 (multiplicity 1)
I1 0.0000 0.5000 0.5000 (multiplicity 2)
N1 0.5000 0.5000 0.0000 (multiplicity 1)

=====

Record 4
A plane-wave DFT calculation with GGA-PBE was carried out for an optimized crystal structure of ReSe4.

Calculated values
formation energy (no corrections): 217 meV/atom
crystal system: tetragonal
final energy: -0.1859 hartree per atom
calculated density: 7.4 Mg/m³

a = 8.5061 Å, b = 8.5061 Å, c = 3.0967 Å
α = 90.00°, β = 90.00°, γ = 90.00°
Space group I4/m (No. 87)
Symmetry-distinct sites (fractional):
Re1 0.0000 0.0000 0.0000 (multiplicity 2)
Se1 0.1064 0.2240 0.5000 (multiplicity 8)

=====

Record 5
A plane-wave DFT calculation with GGA-PBE was carried out for an optimized crystal structure of Sn2HgSe.

Calculated values
formation energy (no corrections): -97 meV/atom
crystal system: trigonal
final energy: -0.1119 hartree per atom
calculated density: 7.8 Mg/m³

a = 3.9521 Å, b = 3.9521 Å, c = 24.5199 Å
α = 90.00°, β = 90.00°, γ = 120.00°
Space group R3m (No. 160, hexagonal axes)
Symmetry-distinct sites (fractional):
Sn1 0.0000 0.0000 0.0000 (multiplicity 3)
Sn2 0.0000 0.0000 0.1771 (multiplicity 3)
Hg1 0.0000 0.0000 0.7557 (multiplicity 3)
Se1 0.0000 0.0000 0.5857 (multiplicity 3)

=====

Record 6
A plane-wave DFT calculation with GGA-PBE was carried out for an optimized crystal structure of Rb2AgRh3F12.

Calculated values
formation energy (no corrections): -1792 meV/atom
crystal system: trigonal
final energy: -0.1665 hartree per atom
calculated density: 4.5 Mg/m³

a = 7.4787 Å, b = 7.4787 Å, c = 18.6237 Å
α = 90.00°, β = 90.00°, γ = 120.00°
Space group R-3m (No. 166, hexagonal axes)
Symmetry-distinct sites (fractional):
Rb1 0.0000 0.0000 0.1228 (multiplicity 6)
Ag1 0.0000 0.0000 0.5000 (multiplicity 3)
Rh1 0.0000 0.5000 0.0000 (multiplicity 9)
F1 0.0194 0.5097 0.8929 (multiplicity 18)
F2 0.0564 0.5282 0.3210 (multiplicity 18)

=====

Record 7
A plane-wave DFT calculation with GGA-PBE was carried out for an optimized crystal structure of InSeO3.

Calculated values
formation energy (no corrections): -409 meV/atom
crystal system: cubic
final energy: -0.1701 hartree per atom
calculated density: 6.4 Mg/m³

a = 3.9681 Å, b = 3.9681 Å, c = 3.9681 Å
α = 90.00°, β = 90.00°, γ = 90.00°
Space group Pm-3m (No. 221)
Symmetry-distinct sites (fractional):
In1 0.0000 0.0000 0.0000 (multiplicity 1)
Se1 0.5000 0.5000 0.5000 (multiplicity 1)
O1 0.0000 0.5000 0.5000 (multiplicity 3)

=====

Record 8
A plane-wave DFT calculation with GGA-PBE was carried out for an optimized crystal structure of NdMgZnCu.

Calculated values
crystal system: cubic
final energy: -0.1171 hartree per atom
energy relative to the elements: -0.25 eV per atom
calculated density: 6.0 Mg/m³

a = 6.8899 Å, b = 6.8899 Å, c = 6.8899 Å
α = 90.00°, β = 90.00°, γ = 90.00°
Space group F-43m (No. 216)
Symmetry-distinct sites (fractional):
Nd1 0.0000 0.0000 0.0000 (multiplicity 4)
Mg1 0.0000 0.0000 0.5000 (multiplicity 4)
Zn1 0.2500 0.2500 0.7500 (multiplicity 4)
Cu1 0.2500 0.2500 0.2500 (multiplicity 4)